one | {
  "formula": "Tb4PrY7",
  "functional": "PBE",
  "state": "relaxed",
  "sg": "P-1 (2)",
  "n_ef_per_ev_cell": 21.5,
  "lattice_angstrom": [[6.558, 0.000, 0.000], [0.959, 6.785, 0.000], [2.098, 0.380, 8.861]],
  "species": ["Tb", "Tb", "Tb", "Tb", "Pr", "Y", "Y", "Y", "Y", "Y", "Y", "Y"],
  "fractional_positions": [[0.139, 0.311, 0.286], [0.337, 0.885, 0.690], [0.663, 0.115, 0.310], [0.861, 0.689, 0.714], [0.500, 0.500, 0.000], [0.016, 0.248, 0.950], [0.180, 0.807, 0.361], [0.311, 0.393, 0.613], [0.500, 0.000, 0.000], [0.689, 0.607, 0.387], [0.820, 0.193, 0.639], [0.984, 0.752, 0.050]]
}

---

two | {
  "formula": "Tb4PrY7",
  "functional": "PBE",
  "state": "relaxed",
  "sg": "C2/m (12)",
  "n_ef_per_ev_cell": 22.1,
  "lattice_angstrom": [[6.071, -2.953, 0.000], [6.071, 2.953, 0.000], [-5.856, 0.000, 11.282]],
  "species": ["Tb", "Tb", "Tb", "Tb", "Pr", "Y", "Y", "Y", "Y", "Y", "Y", "Y"],
  "fractional_positions": [[0.135, 0.135, 0.275], [0.253, 0.253, 0.818], [0.747, 0.747, 0.182], [0.865, 0.865, 0.725], [0.500, 0.500, 0.500], [0.000, 0.000, 0.500], [0.135, 0.135, 0.003], [0.290, 0.290, 0.578], [0.441, 0.441, 0.171], [0.559, 0.559, 0.829], [0.710, 0.710, 0.422], [0.865, 0.865, 0.997]]
}

---

Most stable pick: one. Distance to second place: 194 meV per atom.

---

one | {
  "formula": "Tb2Pr3Y8",
  "functional": "PBE",
  "state": "relaxed",
  "sg": "C2/m (12)",
  "n_ef_per_ev_cell": 24.0,
  "lattice_angstrom": [[10.119, -3.881, 0.000], [10.119, 3.881, 0.000], [-0.008, 0.000, 5.713]],
  "species": ["Tb", "Tb", "Pr", "Pr", "Pr", "Y", "Y", "Y", "Y", "Y", "Y", "Y", "Y"],
  "fractional_positions": [[0.241, 0.241, 0.498], [0.759, 0.759, 0.502], [0.000, 0.000, 0.500], [0.292, 0.708, 0.000], [0.708, 0.292, 0.000], [0.136, 0.136, 0.999], [0.182, 0.600, 0.500], [0.327, 0.327, 0.999], [0.400, 0.818, 0.500], [0.600, 0.182, 0.500], [0.673, 0.673, 0.001], [0.818, 0.400, 0.500], [0.864, 0.864, 0.001]]
}

---

two | {
  "formula": "Tb2Pr3Y8",
  "functional": "PBE",
  "state": "relaxed",
  "sg": "C2/m (12)",
  "n_ef_per_ev_cell": 22.7,
  "lattice_angstrom": [[11.510, -3.492, 0.000], [11.510, 3.492, 0.000], [-1.390, 0.000, 5.495]],
  "species": ["Tb", "Tb", "Pr", "Pr", "Pr", "Y", "Y", "Y", "Y", "Y", "Y", "Y", "Y"],
  "fractional_positions": [[0.222, 0.222, 0.223], [0.778, 0.778, 0.777], [0.224, 0.776, 0.500], [0.500, 0.500, 0.000], [0.776, 0.224, 0.500], [0.075, 0.075, 0.076], [0.085, 0.608, 0.346], [0.311, 0.311, 0.811], [0.392, 0.915, 0.654], [0.608, 0.085, 0.346], [0.689, 0.689, 0.189], [0.915, 0.392, 0.654], [0.925, 0.925, 0.924]]
}

---

Most stable pick: two. Distance to second place: 113 meV per atom.

---

one | {
  "formula": "TbPr3Y",
  "functional": "PBE",
  "state": "relaxed",
  "sg": "C2/c (15)",
  "n_ef_per_ev_cell": 30.9,
  "lattice_angstrom": [[10.028, -6.152, 0.000], [10.028, 6.152, 0.000], [-1.738, 0.000, 5.645]],
  "species": ["Tb", "Tb", "Tb", "Tb", "Pr", "Pr", "Pr", "Pr", "Pr", "Pr", "Pr", "Pr", "Pr", "Pr", "Pr", "Pr", "Y", "Y", "Y", "Y"],
  "fractional_positions": [[0.088, 0.912, 0.750], [0.410, 0.590, 0.250], [0.590, 0.410, 0.750], [0.912, 0.088, 0.250], [0.064, 0.746, 0.155], [0.087, 0.305, 0.446], [0.250, 0.558, 0.653], [0.254, 0.936, 0.345], [0.305, 0.087, 0.946], [0.442, 0.750, 0.847], [0.558, 0.250, 0.153], [0.695, 0.913, 0.054], [0.746, 0.064, 0.655], [0.750, 0.442, 0.347], [0.913, 0.695, 0.554], [0.936, 0.254, 0.845], [0.196, 0.411, 0.053], [0.411, 0.196, 0.553], [0.589, 0.804, 0.447], [0.804, 0.589, 0.947]]
}

---

two | {
  "formula": "TbPr3Y",
  "functional": "PBE",
  "state": "relaxed",
  "sg": "Cmce (64)",
  "n_ef_per_ev_cell": 24.1,
  "lattice_angstrom": [[6.640, -6.689, 0.000], [6.640, 6.689, 0.000], [0.000, 0.000, 7.834]],
  "species": ["Tb", "Tb", "Tb", "Tb", "Pr", "Pr", "Pr", "Pr", "Pr", "Pr", "Pr", "Pr", "Pr", "Pr", "Pr", "Pr", "Y", "Y", "Y", "Y"],
  "fractional_positions": [[0.099, 0.901, 0.873], [0.401, 0.599, 0.373], [0.599, 0.401, 0.627], [0.901, 0.099, 0.127], [0.092, 0.608, 0.116], [0.101, 0.899, 0.391], [0.108, 0.592, 0.616], [0.392, 0.908, 0.116], [0.399, 0.601, 0.891], [0.408, 0.892, 0.616], [0.592, 0.108, 0.384], [0.601, 0.399, 0.109], [0.608, 0.092, 0.884], [0.892, 0.408, 0.384], [0.899, 0.101, 0.609], [0.908, 0.392, 0.884], [0.241, 0.259, 0.250], [0.259, 0.241, 0.750], [0.741, 0.759, 0.250], [0.759, 0.741, 0.750]]
}

---

Most stable pick: one. Distance to second place: 48 meV per atom.

---

one | {
  "formula": "TbPrY6",
  "functional": "PBE",
  "state": "relaxed",
  "sg": "P-1 (2)",
  "n_ef_per_ev_cell": 14.6,
  "lattice_angstrom": [[6.584, 0.000, 0.000], [-0.017, 6.803, 0.000], [-1.673, -3.362, 5.925]],
  "species": ["Tb", "Pr", "Y", "Y", "Y", "Y", "Y", "Y"],
  "fractional_positions": [[0.000, 0.000, 0.000], [0.500, 0.000, 0.000], [0.229, 0.905, 0.474], [0.247, 0.456, 0.998], [0.267, 0.424, 0.517], [0.733, 0.576, 0.483], [0.753, 0.544, 0.002], [0.771, 0.095, 0.526]]
}

---

two | {
  "formula": "TbPrY6",
  "functional": "PBE",
  "state": "relaxed",
  "sg": "R-3 (148)",
  "n_ef_per_ev_cell": 14.3,
  "lattice_angstrom": [[4.842, 2.795, 3.320], [-4.842, 2.795, 3.320], [0.000, -5.591, 3.320]],
  "species": ["Tb", "Pr", "Y", "Y", "Y", "Y", "Y", "Y"],
  "fractional_positions": [[0.000, 0.000, 0.000], [0.500, 0.500, 0.500], [0.044, 0.457, 0.752], [0.248, 0.956, 0.543], [0.457, 0.752, 0.044], [0.543, 0.248, 0.956], [0.752, 0.044, 0.457], [0.956, 0.543, 0.248]]
}

---

Most stable pick: two. Distance to second place: 53 meV per atom.

---

one | {
  "formula": "Tb6PrY12",
  "functional": "PBE",
  "state": "relaxed",
  "sg": "R-3 (148)",
  "n_ef_per_ev_cell": 27.6,
  "lattice_angstrom": [[7.789, 4.497, 2.920], [-7.789, 4.497, 2.920], [0.000, -8.994, 2.920]],
  "species": ["Tb", "Tb", "Tb", "Tb", "Tb", "Tb", "Pr", "Y", "Y", "Y", "Y", "Y", "Y", "Y", "Y", "Y", "Y", "Y", "Y"],
  "fractional_positions": [[0.052, 0.578, 0.368], [0.368, 0.052, 0.578], [0.422, 0.632, 0.948], [0.578, 0.368, 0.052], [0.632, 0.948, 0.422], [0.948, 0.422, 0.632], [0.000, 0.000, 0.000], [0.107, 0.159, 0.737], [0.159, 0.737, 0.107], [0.211, 0.317, 0.475], [0.263, 0.893, 0.841], [0.317, 0.475, 0.211], [0.475, 0.211, 0.317], [0.525, 0.789, 0.683], [0.683, 0.525, 0.789], [0.737, 0.107, 0.159], [0.789, 0.683, 0.525], [0.841, 0.263, 0.893], [0.893, 0.841, 0.263]]
}

---

two | {
  "formula": "Tb6PrY12",
  "functional": "PBE",
  "state": "relaxed",
  "sg": "R-3 (148)",
  "n_ef_per_ev_cell": 32.1,
  "lattice_angstrom": [[5.970, 3.447, 5.107], [-5.970, 3.447, 5.107], [0.000, -6.893, 5.107]],
  "species": ["Tb", "Tb", "Tb", "Tb", "Tb", "Tb", "Pr", "Y", "Y", "Y", "Y", "Y", "Y", "Y", "Y", "Y", "Y", "Y", "Y"],
  "fractional_positions": [[0.189, 0.756, 0.592], [0.244, 0.408, 0.811], [0.408, 0.811, 0.244], [0.592, 0.189, 0.756], [0.756, 0.592, 0.189], [0.811, 0.244, 0.408], [0.500, 0.500, 0.500], [0.043, 0.937, 0.275], [0.063, 0.725, 0.957], [0.143, 0.490, 0.294], [0.275, 0.043, 0.937], [0.294, 0.143, 0.490], [0.490, 0.294, 0.143], [0.510, 0.706, 0.857], [0.706, 0.857, 0.510], [0.725, 0.957, 0.063], [0.857, 0.510, 0.706], [0.937, 0.275, 0.043], [0.957, 0.063, 0.725]]
}

---

Most stable pick: one. Distance to second place: 129 meV per atom.

---

one | {
  "formula": "Tb4PrY2",
  "functional": "PBE",
  "state": "relaxed",
  "sg": "C2/m (12)",
  "n_ef_per_ev_cell": 10.6,
  "lattice_angstrom": [[8.418, -1.773, 0.000], [8.418, 1.773, 0.000], [-4.317, 0.000, 7.693]],
  "species": ["Tb", "Tb", "Tb", "Tb", "Pr", "Y", "Y"],
  "fractional_positions": [[0.142, 0.142, 0.335], [0.206, 0.206, 0.793], [0.794, 0.794, 0.207], [0.858, 0.858, 0.665], [0.500, 0.500, 0.500], [0.429, 0.429, 0.069], [0.571, 0.571, 0.931]]
}

---

two | {
  "formula": "Tb4PrY2",
  "functional": "PBE",
  "state": "relaxed",
  "sg": "P2_1/m (11)",
  "n_ef_per_ev_cell": 23.7,
  "lattice_angstrom": [[6.210, 0.000, 0.000], [0.000, 6.581, 0.000], [-2.755, 0.000, 11.206]],
  "species": ["Tb", "Tb", "Tb", "Tb", "Tb", "Tb", "Tb", "Tb", "Pr", "Pr", "Y", "Y", "Y", "Y"],
  "fractional_positions": [[0.144, 0.009, 0.288], [0.144, 0.491, 0.288], [0.207, 0.250, 0.572], [0.348, 0.750, 0.840], [0.652, 0.250, 0.160], [0.793, 0.750, 0.428], [0.856, 0.509, 0.712], [0.856, 0.991, 0.712], [0.459, 0.750, 0.142], [0.541, 0.250, 0.858], [0.107, 0.250, 0.994], [0.354, 0.750, 0.552], [0.646, 0.250, 0.448], [0.893, 0.750, 0.006]]
}

---

Most stable pick: one. Distance to second place: 82 meV per atom.

---

one | {
  "formula": "TbPr3Y6",
  "functional": "PBE",
  "state": "relaxed",
  "sg": "Cmc2_1 (36)",
  "n_ef_per_ev_cell": 27.1,
  "lattice_angstrom": [[5.503, -9.499, 0.000], [5.503, 9.499, 0.000], [0.000, 0.000, 6.464]],
  "species": ["Tb", "Tb", "Pr", "Pr", "Pr", "Pr", "Pr", "Pr", "Y", "Y", "Y", "Y", "Y", "Y", "Y", "Y", "Y", "Y", "Y", "Y"],
  "fractional_positions": [[0.192, 0.808, 0.500], [0.808, 0.192, 0.000], [0.064, 0.294, 0.673], [0.294, 0.064, 0.173], [0.387, 0.613, 0.567], [0.613, 0.387, 0.067], [0.706, 0.936, 0.673], [0.936, 0.706, 0.173], [0.039, 0.961, 0.777], [0.055, 0.472, 0.263], [0.267, 0.733, 0.978], [0.288, 0.376, 0.084], [0.376, 0.288, 0.584], [0.472, 0.055, 0.763], [0.528, 0.945, 0.263], [0.624, 0.712, 0.084], [0.712, 0.624, 0.584], [0.733, 0.267, 0.478], [0.945, 0.528, 0.763], [0.961, 0.039, 0.277]]
}

---

two | {
  "formula": "TbPr3Y6",
  "functional": "PBE",
  "state": "relaxed",
  "sg": "R3 (146)",
  "n_ef_per_ev_cell": 20.5,
  "lattice_angstrom": [[4.998, 2.886, 3.917], [-4.998, 2.886, 3.917], [0.000, -5.771, 3.917]],
  "species": ["Tb", "Pr", "Pr", "Pr", "Y", "Y", "Y", "Y", "Y", "Y"],
  "fractional_positions": [[0.000, 0.000, 0.000], [0.249, 0.249, 0.249], [0.500, 0.500, 0.500], [0.751, 0.751, 0.751], [0.075, 0.423, 0.754], [0.248, 0.926, 0.578], [0.423, 0.754, 0.075], [0.578, 0.248, 0.926], [0.754, 0.075, 0.423], [0.926, 0.578, 0.248]]
}

---

Most stable pick: one. Distance to second place: 119 meV per atom.

---

one | {
  "formula": "TbPr5Y5",
  "functional": "PBE",
  "state": "relaxed",
  "sg": "P-6m2 (187)",
  "n_ef_per_ev_cell": 23.1,
  "lattice_angstrom": [[6.179, 0.000, 0.000], [-3.089, 5.351, 0.000], [0.000, 0.000, 11.926]],
  "species": ["Tb", "Pr", "Pr", "Pr", "Pr", "Pr", "Y", "Y", "Y", "Y", "Y"],
  "fractional_positions": [[0.000, 0.000, 0.000], [0.000, 0.000, 0.314], [0.000, 0.000, 0.686], [0.333, 0.667, 0.152], [0.333, 0.667, 0.848], [0.667, 0.333, 0.000], [0.000, 0.500, 0.500], [0.500, 0.000, 0.500], [0.500, 0.500, 0.500], [0.667, 0.333, 0.263], [0.667, 0.333, 0.737]]
}

---

two | {
  "formula": "TbPr5Y5",
  "functional": "PBE",
  "state": "relaxed",
  "sg": "C2/m (12)",
  "n_ef_per_ev_cell": 19.1,
  "lattice_angstrom": [[9.390, -3.067, 0.000], [9.390, 3.067, 0.000], [-2.228, 0.000, 6.658]],
  "species": ["Tb", "Pr", "Pr", "Pr", "Pr", "Pr", "Y", "Y", "Y", "Y", "Y"],
  "fractional_positions": [[0.000, 0.000, 0.000], [0.000, 0.000, 0.500], [0.327, 0.327, 0.808], [0.374, 0.374, 0.353], [0.626, 0.626, 0.647], [0.673, 0.673, 0.192], [0.173, 0.173, 0.920], [0.177, 0.177, 0.414], [0.500, 0.500, 0.000], [0.823, 0.823, 0.586], [0.827, 0.827, 0.080]]
}

---

Most stable pick: two. Distance to second place: 47 meV per atom.

---

one | {
  "formula": "Tb7Pr2Y2",
  "functional": "PBE",
  "state": "relaxed",
  "sg": "C2/m (12)",
  "n_ef_per_ev_cell": 17.4,
  "lattice_angstrom": [[5.716, -5.750, 0.000], [5.716, 5.750, 0.000], [-2.415, 0.000, 5.591]],
  "species": ["Tb", "Tb", "Tb", "Tb", "Tb", "Tb", "Tb", "Pr", "Pr", "Y", "Y"],
  "fractional_positions": [[0.000, 0.000, 0.000], [0.059, 0.591, 0.827], [0.409, 0.941, 0.173], [0.413, 0.413, 0.198], [0.587, 0.587, 0.802], [0.591, 0.059, 0.827], [0.941, 0.409, 0.173], [0.233, 0.233, 0.593], [0.767, 0.767, 0.407], [0.218, 0.782, 0.500], [0.782, 0.218, 0.500]]
}

---

two | {
  "formula": "Tb7Pr2Y2",
  "functional": "PBE",
  "state": "relaxed",
  "sg": "P-1 (2)",
  "n_ef_per_ev_cell": 17.7,
  "lattice_angstrom": [[6.606, 0.000, 0.000], [-0.662, 6.697, 0.000], [-1.412, -3.368, 8.216]],
  "species": ["Tb", "Tb", "Tb", "Tb", "Tb", "Tb", "Tb", "Pr", "Pr", "Y", "Y"],
  "fractional_positions": [[0.000, 0.000, 0.000], [0.107, 0.420, 0.831], [0.381, 0.431, 0.215], [0.499, 0.120, 0.862], [0.501, 0.880, 0.138], [0.619, 0.569, 0.785], [0.893, 0.580, 0.169], [0.217, 0.678, 0.572], [0.783, 0.322, 0.428], [0.252, 0.112, 0.451], [0.748, 0.888, 0.549]]
}

---

Most stable pick: two. Distance to second place: 72 meV per atom.